The following is a GGA-PBE calculation of a relaxed Pr2CdNi4Sn3 crystal, from Alexandria.

abc: 4.4766 4.4766 10.1550
angles: 90.00 90.00 90.00
Atoms (fractional coordinates):
Sn  0.0000  0.5000  0.1246
Pr  0.0000  0.5000  0.7623
Sn  0.5000  0.0000  0.8754
Sn  0.0000  0.0000  0.5000
Pr  0.5000  0.0000  0.2377
Ni  0.5000  0.5000  0.0000
Ni  0.0000  0.0000  0.0000
Ni  0.5000  0.0000  0.6301
Cd  0.5000  0.5000  0.5000
Ni  0.0000  0.5000  0.3699

Values from the calculation:
Space group: P-4m2, No. 115
Total DFT energy (no corrections): -5.0149 eV per atom

---

The following is a GGA-PBE calculation of a relaxed PrZnCdNi crystal, from Alexandria.

abc: 4.8416 4.8416 4.8416
angles: 60.00 60.00 60.00
Atoms (fractional coordinates):
Pr  0.0000  0.0000  0.0000
Cd  0.5000  0.5000  0.5000
Zn  0.2500  0.2500  0.2500
Ni  0.7500  0.7500  0.7500

Values from the calculation:
Space group: F-43m, No. 216
Total DFT energy (no corrections): -3.3712 eV per atom